1.
A geometry-optimized YTc2TeIr structure. Source: Alexandria via LeMat-Bulk, functional GGA-PBE.

- Symmetry: P4/mmm (123)
- Final energy: -7.01 eV/atom
- Uncorrected formation energy: 830 meV/atom
- N(E_F): 1.292 states/eV/atom
- V: 119.3 Å³ per cell

The structure in CIF format:
```
data_YTc2TeIr
_chemical_formula_sum 'Y1 Tc2 Te1 Ir1'
_space_group_name_H-M_alt 'P 1'
_space_group_IT_number 1
_cell_length_a 4.740
_cell_length_b 5.308
_cell_length_c 4.740
_cell_angle_alpha 90.00
_cell_angle_beta 90.00
_cell_angle_gamma 90.00
loop_
_space_group_symop_operation_xyz
'x,y,z'
loop_
_atom_site_label
_atom_site_type_symbol
_atom_site_fract_x
_atom_site_fract_y
_atom_site_fract_z
_atom_site_occupancy
Y1 Y 0.500 0.500 0.500 1
Ir1 Ir 0.000 0.000 0.000 1
Te1 Te 0.000 0.500 0.000 1
Tc1 Tc 0.000 0.000 0.500 1
Tc2 Tc 0.500 0.000 0.000 1
```

2.
A geometry-optimized RbCl2F structure. Source: Alexandria via LeMat-Bulk, functional GGA-PBE.

- Symmetry: I-42d (122)
- Final energy: -2.78 eV/atom
- Uncorrected formation energy: -1152 meV/atom
- N(E_F): 3.412 states/eV/atom
- V: 247.5 Å³ per cell

The structure in CIF format:
```
data_RbCl2F
_chemical_formula_sum 'Rb2 Cl4 F2'
_space_group_name_H-M_alt 'P 1'
_space_group_IT_number 1
_cell_length_a 4.286
_cell_length_b 4.286
_cell_length_c 13.810
_cell_angle_alpha 81.07
_cell_angle_beta 81.07
_cell_angle_gamma 90.00
loop_
_space_group_symop_operation_xyz
'x,y,z'
loop_
_atom_site_label
_atom_site_type_symbol
_atom_site_fract_x
_atom_site_fract_y
_atom_site_fract_z
_atom_site_occupancy
F1 F 0.500 0.500 0.000 1
F2 F 0.250 0.750 0.500 1
Rb1 Rb 0.000 0.000 0.000 1
Rb2 Rb 0.750 0.250 0.500 1
Cl1 Cl 0.446 0.125 0.250 1
Cl2 Cl 0.304 0.625 0.250 1
Cl3 Cl 0.375 0.554 0.750 1
Cl4 Cl 0.875 0.696 0.750 1
```